{
  "formula": "ZnFeSi2O6",
  "functional": "GGA+U",
  "state": "relaxed",
  "spacegroup": "No. 15",
  "vol_a3_per_atom": 11.70,
  "dft_energy_ev_per_cell": -139.87,
  "dos_at_fermi_per_ev_cell": 0.000,
  "cell": [[4.9341, -4.7048, 0.0000], [4.9341, 4.7048, 0.0000], [-1.9304, 0.0000, 5.0421]],
  "species": ["Zn", "Zn", "Fe", "Fe", "Si", "Si", "Si", "Si", "O", "O", "O", "O", "O", "O", "O", "O", "O", "O", "O", "O"],
  "frac_coords": [[0.2361, 0.7639, 0.7500], [0.7639, 0.2361, 0.2500], [0.1038, 0.8962, 0.2500], [0.8962, 0.1038, 0.7500], [0.2206, 0.3866, 0.2789], [0.3866, 0.2206, 0.7789], [0.6134, 0.7794, 0.2211], [0.7794, 0.6134, 0.7211], [0.0408, 0.2088, 0.1607], [0.1471, 0.6188, 0.3768], [0.2088, 0.0408, 0.6607], [0.3336, 0.3778, 0.0410], [0.3778, 0.3336, 0.5410], [0.3812, 0.8529, 0.1232], [0.6188, 0.1471, 0.8768], [0.6222, 0.6664, 0.4590], [0.6664, 0.6222, 0.9590], [0.7912, 0.9592, 0.3393], [0.8529, 0.3812, 0.6232], [0.9592, 0.7912, 0.8393]]
}